one.
LiTl2Pb | PBE | optimized geometry

* density of states at the Fermi level: 2.25 states/eV/cell

abc: 3.530 4.908 6.537
angles: 90.00 104.14 90.00
Sites, in units of the cell vectors:
Li 0.000 0.000 0.000
Tl 0.209 0.000 0.482
Tl 0.828 0.500 0.723
Pb 0.562 0.500 0.181

two.
LiTl2Pb | PBE | optimized geometry

* density of states at the Fermi level: 2.04 states/eV/cell

abc: 3.531 3.531 8.567
angles: 90.00 90.00 90.00
Sites, in units of the cell vectors:
Li 0.000 0.000 0.000
Tl 0.000 0.000 0.507
Tl 0.500 0.500 0.798
Pb 0.500 0.500 0.213

three.
LiTl2Pb | PBE | optimized geometry

* density of states at the Fermi level: 4.39 states/eV/cell

abc: 11.687 11.687 11.687
angles: 157.69 157.69 31.76
Sites, in units of the cell vectors:
Li 0.000 0.000 0.000
Li 0.750 0.250 0.500
Tl 0.114 0.625 0.989
Tl 0.375 0.364 0.489
Tl 0.636 0.125 0.011
Tl 0.875 0.886 0.511
Pb 0.250 0.750 0.500
Pb 0.500 0.500 0.000

The least stable of them is three.

one.
LiTl2Pb8 | PBE | optimized geometry

* density of states at the Fermi level: 5.36 states/eV/cell

abc: 7.723 7.723 8.561
angles: 121.23 121.23 69.46
Sites, in units of the cell vectors:
Li 0.000 0.000 0.000
Tl 0.256 0.256 0.500
Tl 0.744 0.744 0.500
Pb 0.083 0.083 0.747
Pb 0.093 0.559 0.888
Pb 0.404 0.404 0.248
Pb 0.441 0.907 0.112
Pb 0.559 0.093 0.888
Pb 0.596 0.596 0.752
Pb 0.907 0.441 0.112
Pb 0.917 0.917 0.253

two.
LiTl2Pb8 | PBE | optimized geometry

* density of states at the Fermi level: 5.30 states/eV/cell

abc: 9.348 9.348 7.845
angles: 103.48 103.48 30.09
Sites, in units of the cell vectors:
Li 0.000 0.000 0.000
Tl 0.273 0.273 0.365
Tl 0.727 0.727 0.635
Pb 0.087 0.087 0.455
Pb 0.178 0.178 0.915
Pb 0.368 0.368 0.824
Pb 0.455 0.455 0.257
Pb 0.545 0.545 0.743
Pb 0.632 0.632 0.176
Pb 0.822 0.822 0.085
Pb 0.913 0.913 0.545

The least stable of them is one.

one.
LiTl6Pb | PBE | optimized geometry

* density of states at the Fermi level: 4.75 states/eV/cell

abc: 7.201 7.201 4.445
angles: 90.00 90.00 90.23
Sites, in units of the cell vectors:
Li 0.000 0.000 0.000
Tl 0.000 0.500 0.000
Tl 0.241 0.241 0.500
Tl 0.242 0.758 0.500
Tl 0.500 0.000 0.000
Tl 0.758 0.242 0.500
Tl 0.759 0.759 0.500
Pb 0.500 0.500 0.000

two.
LiTl6Pb | PBE | optimized geometry

* density of states at the Fermi level: 3.18 states/eV/cell

abc: 4.851 4.851 9.862
angles: 90.00 90.00 90.00
Sites, in units of the cell vectors:
Li 0.000 0.000 0.000
Tl 0.000 0.500 0.238
Tl 0.000 0.500 0.762
Tl 0.500 0.000 0.238
Tl 0.500 0.000 0.762
Tl 0.500 0.500 0.000
Tl 0.500 0.500 0.500
Pb 0.000 0.000 0.500

The least stable of them is two.

one.
Li6TlPb | PBE | optimized geometry

* density of states at the Fermi level: 3.16 states/eV/cell

abc: 8.211 8.211 8.211
angles: 33.28 33.28 33.28
Sites, in units of the cell vectors:
Li 0.125 0.125 0.125
Li 0.247 0.247 0.247
Li 0.375 0.375 0.375
Li 0.625 0.625 0.625
Li 0.753 0.753 0.753
Li 0.875 0.875 0.875
Tl 0.000 0.000 0.000
Pb 0.500 0.500 0.500

two.
Li6TlPb | PBE | optimized geometry

* density of states at the Fermi level: 3.28 states/eV/cell

abc: 6.033 6.033 4.864
angles: 90.00 90.00 120.00
Sites, in units of the cell vectors:
Li 0.013 0.506 0.000
Li 0.326 0.163 0.500
Li 0.494 0.506 0.000
Li 0.494 0.987 0.000
Li 0.837 0.163 0.500
Li 0.837 0.674 0.500
Tl 0.000 0.000 0.000
Pb 0.333 0.667 0.500

The least stable of them is two.

one.
Li3TlPb3 | PBE | optimized geometry

* density of states at the Fermi level: 9.35 states/eV/cell

abc: 7.578 7.578 7.578
angles: 90.00 90.00 90.00
Sites, in units of the cell vectors:
Li 0.000 0.250 0.500
Li 0.000 0.750 0.500
Li 0.250 0.500 0.000
Li 0.500 0.000 0.250
Li 0.500 0.000 0.750
Li 0.750 0.500 0.000
Tl 0.000 0.000 0.000
Tl 0.500 0.500 0.500
Pb 0.000 0.500 0.250
Pb 0.000 0.500 0.750
Pb 0.250 0.000 0.500
Pb 0.500 0.250 0.000
Pb 0.500 0.750 0.000
Pb 0.750 0.000 0.500

two.
Li3TlPb3 | PBE | optimized geometry

* density of states at the Fermi level: 7.64 states/eV/cell

abc: 8.818 8.818 8.818
angles: 90.00 90.00 90.00
Sites, in units of the cell vectors:
Li 0.055 0.258 0.856
Li 0.144 0.555 0.242
Li 0.242 0.144 0.555
Li 0.258 0.856 0.055
Li 0.356 0.445 0.742
Li 0.445 0.742 0.356
Li 0.555 0.242 0.144
Li 0.644 0.945 0.758
Li 0.742 0.356 0.445
Li 0.758 0.644 0.945
Li 0.856 0.055 0.258
Li 0.945 0.758 0.644
Tl 0.054 0.446 0.554
Tl 0.446 0.554 0.054
Tl 0.554 0.054 0.446
Tl 0.946 0.946 0.946
Pb 0.093 0.593 0.907
Pb 0.129 0.871 0.371
Pb 0.187 0.187 0.187
Pb 0.313 0.813 0.687
Pb 0.371 0.129 0.871
Pb 0.407 0.407 0.407
Pb 0.593 0.907 0.093
Pb 0.629 0.629 0.629
Pb 0.687 0.313 0.813
Pb 0.813 0.687 0.313
Pb 0.871 0.371 0.129
Pb 0.907 0.093 0.593

The least stable of them is one.

one.
Li6TlPb3 | PBE | optimized geometry

* density of states at the Fermi level: 5.25 states/eV/cell

abc: 8.361 4.940 10.872
angles: 90.00 110.19 90.00
Sites, in units of the cell vectors:
Li 0.049 0.250 0.427
Li 0.175 0.750 0.187
Li 0.246 0.250 0.013
Li 0.346 0.250 0.333
Li 0.348 0.750 0.781
Li 0.428 0.250 0.626
Li 0.572 0.750 0.374
Li 0.652 0.250 0.219
Li 0.654 0.750 0.667
Li 0.754 0.750 0.987
Li 0.825 0.250 0.813
Li 0.951 0.750 0.573
Tl 0.450 0.750 0.085
Tl 0.550 0.250 0.915
Pb 0.040 0.750 0.884
Pb 0.119 0.250 0.712
Pb 0.285 0.750 0.482
Pb 0.715 0.250 0.518
Pb 0.881 0.750 0.288
Pb 0.960 0.250 0.116

two.
Li6TlPb3 | PBE | optimized geometry

* density of states at the Fermi level: 3.29 states/eV/cell

abc: 7.016 7.016 7.016
angles: 113.63 113.63 113.63
Sites, in units of the cell vectors:
Li 0.085 0.085 0.831
Li 0.085 0.831 0.085
Li 0.207 0.207 0.569
Li 0.207 0.569 0.207
Li 0.569 0.207 0.207
Li 0.831 0.085 0.085
Tl 0.573 0.573 0.573
Pb 0.160 0.659 0.659
Pb 0.659 0.160 0.659
Pb 0.659 0.659 0.160

The least stable of them is two.